1.
This record from the Alexandria database describes a relaxed structure of LaPm3Ni. The functional is PBE.

Lattice parameters (Å, degrees): 6.0568 7.7167 7.7179 120.00 90.00 90.00
Last column: nearest neighbours and their distance in Å.
Fractional positions:
1 La 0.7500 0.6668 0.3334  12 Pm 3.69-3.86
2 La 0.2500 0.3332 0.6666  12 Pm 3.69-3.86
3 Pm 0.7500 0.6487 0.8244  2 Ni 2.79
4 Pm 0.2500 0.8244 0.6488  2 Ni 2.79
5 Pm 0.2500 0.3513 0.1756  2 Ni 2.79
6 Pm 0.7500 0.1756 0.3512  2 Ni 2.79
7 Pm 0.2499 0.8243 0.1756  2 Ni 2.79
8 Pm 0.7501 0.1757 0.8244  2 Ni 2.79
9 Ni 0.0000 0.0000 0.0000  6 Pm 2.79, 2 Ni 3.03
10 Ni 0.5000 0.0000 0.0000  6 Pm 2.79, 2 Ni 3.03

Values from the calculation:
Calculated total energy ... -50.41 eV/cell
Density ... 6.73 g/cm3
D(E_F) ... 11.0 states/eV per cell

2.
This record from the Alexandria database describes a relaxed structure of AcZr2Re. The functional is PBE.

Lattice parameters (Å, degrees): 3.4028 3.4028 8.5655 90.00 90.00 90.00
Last column: nearest neighbours and their distance in Å.
Fractional positions:
1 Re 0.5000 0.5000 0.0000  8 Zr 2.86
2 Ac 0.5000 0.5000 0.5000  4 Ac 3.40, 8 Zr 3.65
3 Zr 0.0000 0.0000 0.8197  4 Re 2.86, 1 Zr 3.09
4 Zr 0.0000 0.0000 0.1803  4 Re 2.86, 1 Zr 3.09

Values from the calculation:
Calculated total energy ... -33.43 eV/cell
Density ... 9.97 g/cm3
D(E_F) ... 5.0 states/eV per cell

3.
This record from the Alexandria database describes a relaxed structure of RbReAu2F. The functional is PBE.

Lattice parameters (Å, degrees): 6.0478 7.7250 6.0478 90.00 90.00 90.00
Last column: nearest neighbours and their distance in Å.
Fractional positions:
1 Re 0.0000 0.5000 0.0000  2 Rb 3.86, 4 F 4.28
2 Au 0.0000 0.0000 0.5000  2 Rb 3.02
3 Au 0.5000 0.0000 0.0000  2 Rb 3.02
4 Rb 0.0000 0.0000 0.0000  4 Au 3.02
5 F 0.5000 0.5000 0.5000  4 Re 4.28

Values from the calculation:
Calculated total energy ... -11.87 eV/cell
Density ... 4.02 g/cm3
ΔE_f (raw) ... 1.99 eV/atom
D(E_F) ... 2.4 states/eV per cell

4.
This record from the Alexandria database describes a relaxed structure of BaCoPb. The functional is PBE.

Lattice parameters (Å, degrees): 6.7317 6.7317 3.6091 74.45 74.45 31.10
Last column: nearest neighbours and their distance in Å.
Fractional positions:
1 Ba 0.9876 0.9876 0.0124  5 Pb 3.44-3.78, 4 Co 3.45, 4 Ba 3.61
2 Co 0.3009 0.3009 0.6991  4 Pb 2.78
3 Pb 0.7116 0.7116 0.2884  4 Co 2.78

Values from the calculation:
Calculated total energy ... -12.12 eV/cell
Density ... 8.26 g/cm3
D(E_F) ... 1.1 states/eV per cell

5.
This record from the Alexandria database describes a relaxed structure of Sr3PdRu. The functional is PBE.

Lattice parameters (Å, degrees): 5.5634 5.5634 5.5634 90.00 90.00 90.00
Last column: nearest neighbours and their distance in Å.
Fractional positions:
1 Ru 0.0000 0.0000 0.0000  6 Sr 2.78
2 Pd 0.5000 0.5000 0.5000  12 Sr 3.93
3 Sr 0.0000 0.5000 0.0000  2 Ru 2.78
4 Sr 0.0000 0.0000 0.5000  2 Ru 2.78
5 Sr 0.5000 0.0000 0.0000  2 Ru 2.78

Values from the calculation:
Calculated total energy ... -17.98 eV/cell
Density ... 4.54 g/cm3
D(E_F) ... 1.5 states/eV per cell

6.
This record from the Alexandria database describes a relaxed structure of Ni2SbAs. The functional is PBE.

Lattice parameters (Å, degrees): 2.9828 3.4470 6.6943 90.00 90.00 90.00
Last column: nearest neighbours and their distance in Å.
Fractional positions:
1 As 0.5000 0.5000 0.8599  5 Ni 2.37-2.49
2 Ni 0.0000 0.0000 0.0106  4 As 2.49, 4 Ni 2.66, 1 Sb 2.71
3 Ni 0.5000 0.5000 0.2147  1 As 2.37, 4 Sb 2.64, 4 Ni 2.66
4 Sb 0.0000 0.0000 0.4148  5 Ni 2.64-2.71

Values from the calculation:
Calculated total energy ... -20.63 eV/cell
Density ... 7.58 g/cm3
ΔE_f (raw) ... -0.07 eV/atom
D(E_F) ... 2.8 states/eV per cell

7.
This record from the Alexandria database describes a relaxed structure of IrSI. The functional is PBE.

Lattice parameters (Å, degrees): 3.6515 6.6723 7.6272 115.00 94.40 90.02
Last column: nearest neighbours and their distance in Å.
Fractional positions:
1 I 0.7863 0.0354 0.7255  3 Ir 2.77
2 I 0.2137 0.9646 0.2745  3 Ir 2.77
3 S 0.7230 0.4940 0.3320  3 Ir 2.33-2.36
4 S 0.2770 0.5060 0.6680  3 Ir 2.33-2.36
5 Ir 0.2490 0.7223 0.4941  3 S 2.33-2.36
6 Ir 0.7510 0.2777 0.5059  3 S 2.33-2.36

Values from the calculation:
Calculated total energy ... -30.13 eV/cell
Density ... 6.95 g/cm3
ΔE_f (raw) ... -0.18 eV/atom

8.
This record from the Alexandria database describes a relaxed structure of Na3La3TcO8. The functional is PBE.

Lattice parameters (Å, degrees): 7.0990 7.0987 6.9019 120.95 90.00 120.00
Last column: nearest neighbours and their distance in Å.
Fractional positions:
1 Na 0.0000 0.0000 0.0000  6 O 2.55-2.58
2 Na 0.0000 0.5000 0.0000  6 O 2.55-2.58
3 Na 0.5000 0.5000 0.0000  6 O 2.55-2.58
4 La 0.5000 0.0000 0.5000  6 O 2.38-2.46
5 La 0.5000 0.5000 0.5000  6 O 2.38-2.46
6 La 0.0000 0.5000 0.5000  6 O 2.38-2.46
7 Tc 0.0000 0.0000 0.5000  6 O 2.10
8 O 0.2604 0.5208 0.2812  3 La 2.38, 3 Na 2.58
9 O 0.7396 0.4792 0.7188  3 La 2.38, 3 Na 2.58
10 O 0.7880 0.5760 0.3001  1 Tc 2.10
11 O 0.2120 0.4240 0.6999  1 Tc 2.10
12 O 0.7880 0.0120 0.3001  1 Tc 2.10
13 O 0.2120 0.9880 0.6999  1 Tc 2.10
14 O 0.2240 0.0120 0.3001  1 Tc 2.10
15 O 0.7760 0.9880 0.6999  1 Tc 2.10

Values from the calculation:
Calculated total energy ... -104.58 eV/cell
Density ... 4.88 g/cm3
ΔE_f (raw) ... -2.39 eV/atom